# 1
A plane-wave DFT calculation with PBE was carried out for SnHSCl2 after structural relaxation.

Cell lengths 4.6914, 5.7492, 4.6914 Å; angles 90.00, 90.00, 90.00 degrees
Last column: nearest neighbours and their distance in Å.
Sites, in units of the cell vectors:
Cl1 0.0000 0.0000 0.5000  2 S 2.35
Sn1 0.0000 0.5000 0.0000  2 S 2.87
Cl2 0.5000 0.0000 0.0000  2 S 2.35
S1 0.0000 0.0000 0.0000  4 Cl 2.35
H1 0.5000 0.5000 0.5000  4 Sn 3.32, 8 Cl 3.71

## Properties
As for the total energy: -12.74 eV/f.u. Its space-group type is P4/mmm (123). The value obtained for the calculated density is 2.9 Mg/m³. As for the crystal system: tetragonal. For the offset from the most stable computed form, the calculation gives 414 meV/atom.

---

# 2
A plane-wave DFT calculation with PBE was carried out for SnH3SCl3 after structural relaxation.

Cell lengths 8.3976, 5.9688, 7.8858 Å; angles 87.71, 89.98, 90.00 degrees
Last column: nearest neighbours and their distance in Å.
Sites, in units of the cell vectors:
H1 0.1857 0.5431 0.9847  1 S 1.39
Sn1 0.4950 0.0293 0.0123  3 Cl 2.57-2.75
Cl1 0.4452 0.5968 0.0187  2 H 2.22-2.31
H2 0.4411 0.5645 0.3113  1 S 1.38
Cl2 0.7831 0.9991 0.7824  1 Sn 2.57
H3 0.1059 0.2656 0.8718  1 S 1.45
H4 0.0087 0.5646 0.8114  1 S 1.38
S1 0.0369 0.4476 0.9627  3 H 1.38-1.45
H5 0.2640 0.5431 0.4846  1 S 1.39
Sn2 0.9548 0.0292 0.5123  3 Cl 2.57-2.75
Cl3 0.2098 0.0627 0.7282  1 H 1.90
S2 0.4128 0.4475 0.4626  3 H 1.38-1.45
H6 0.3436 0.2655 0.3717  1 S 1.45
Cl4 0.6664 0.9993 0.2822  1 Sn 2.57
Cl5 0.0046 0.5967 0.5188  2 H 2.22-2.31
Cl6 0.2397 0.0628 0.2283  1 H 1.90

## Properties
As for the total energy: -28.29 eV/f.u. Its space-group type is Pc (7). The value obtained for the calculated density is 2.2 Mg/m³. As for the crystal system: monoclinic. For the offset from the most stable computed form, the calculation gives 0 meV/atom.

---

# 3
A plane-wave DFT calculation with PBE was carried out for SrHS2Cl after structural relaxation.

Cell lengths 4.0146, 4.0146, 5.7329 Å; angles 90.00, 90.00, 90.00 degrees
Last column: nearest neighbours and their distance in Å.
Sites, in units of the cell vectors:
Cl1 0.0000 0.0000 0.5000  4 Sr 2.84, 2 H 2.87
Sr1 0.5000 0.5000 0.5000  4 Cl 2.84
S1 0.0000 0.5000 0.0000  2 H 2.01
H1 0.0000 0.0000 0.0000  4 S 2.01
S2 0.5000 0.0000 0.0000  2 H 2.01

## Properties
As for the total energy: -18.41 eV/f.u. Its space-group type is P4/mmm (123). The value obtained for the calculated density is 3.4 Mg/m³. As for the crystal system: tetragonal. For the offset from the most stable computed form, the calculation gives 0 meV/atom.